Compound: KPrDyGeO6
Source: the Alexandria database
Functional: PBE
Structure: relaxed

Properties
Formation energy from raw total energies in eV/atom: -2.307

a b c (Å): 8.1787 8.1787 8.1787
angles (deg): 90.00 90.00 90.00
Closest atoms and distances in Å follow each position.
Space group F-43m (No. 216)
Inequivalent atoms, fractional coordinates:
K (0.0000, 0.0000, 0.0000) [4 per cell]  12 O 2.90
Pr (0.0000, 0.0000, 0.5000) [4 per cell]  12 O 2.90
Dy (0.2500, 0.2500, 0.7500) [4 per cell]  6 O 2.20
Ge (0.2500, 0.2500, 0.2500) [4 per cell]  6 O 1.89
O (0.0184, 0.2500, 0.2500) [24 per cell]  1 Ge 1.89

---

Compound: SrInAs2
Source: the Alexandria database
Functional: PBE
Structure: relaxed

Properties
Calculated formation energy in eV per atom: -0.135

a b c (Å): 7.4437 7.4437 7.4437
angles (deg): 90.00 90.00 90.00
Closest atoms and distances in Å follow each position.
Space group F-43m (No. 216)
Inequivalent atoms, fractional coordinates:
Sr (0.0000, 0.0000, 0.0000) [4 per cell]  4 In 3.22, 4 As 3.22
In (0.2500, 0.2500, 0.7500) [4 per cell]  4 As 3.22, 4 Sr 3.22
As (0.0000, 0.0000, 0.5000) [4 per cell]  4 As 3.22, 4 In 3.22
As (0.2500, 0.2500, 0.2500) [4 per cell]  4 As 3.22, 4 Sr 3.22

---

Compound: MgZrBi
Source: the Alexandria database
Functional: PBE
Structure: relaxed

Properties
Calculated formation energy in eV per atom: -0.119

a b c (Å): 5.6593 5.6593 7.8396
angles (deg): 90.00 90.00 120.00
Closest atoms and distances in Å follow each position.
Space group P3_212 (No. 153)
Inequivalent atoms, fractional coordinates:
Mg (0.0434, 0.5217, 0.0000) [3 per cell]  5 Zr 3.11-3.28, 5 Bi 3.12-3.37
Zr (0.1438, 0.2876, 0.3333) [3 per cell]  5 Bi 3.06-3.33, 5 Mg 3.11-3.28
Bi (0.3552, 0.1776, 0.0000) [3 per cell]  5 Zr 3.06-3.33, 5 Mg 3.12-3.37

---

Compound: Tb2PmSm3Tm6
Source: the Alexandria database
Functional: PBE
Structure: relaxed

Properties
Calculated formation energy in eV per atom: 0.019

a b c (Å): 6.1574 10.6569 11.6748
angles (deg): 90.00 100.08 90.00
Closest atoms and distances in Å follow each position.
Space group C2/m (No. 12)
Inequivalent atoms, fractional coordinates:
Tb (0.0000, 0.1668, 0.0000) [4 per cell]  6 Tm 3.52, 3 Pm 3.55, 3 Tb 3.55
Pm (0.0000, 0.5000, 0.0000) [2 per cell]  6 Tm 3.52, 6 Tb 3.55
Sm (0.0000, 0.0000, 0.5000) [2 per cell]  6 Tm 3.54, 6 Sm 3.55
Sm (0.0000, 0.3333, 0.5000) [4 per cell]  6 Tm 3.54, 6 Sm 3.55
Tm (0.2497, 0.0000, 0.2490) [4 per cell]  1 Pm 3.52, 2 Tb 3.52, 3 Sm 3.54, 6 Tm 3.55-3.56
Tm (0.2498, 0.1668, 0.7509) [8 per cell]  2 Tb 3.52, 1 Pm 3.52, 3 Sm 3.54, 6 Tm 3.55-3.56

---

Compound: K2CdCuH6
Source: the Alexandria database
Functional: PBE
Structure: relaxed

Properties
Total energy in eV/atom: -2.752

a b c (Å): 7.8437 7.8401 5.6967
angles (deg): 90.00 133.44 90.00
Closest atoms and distances in Å follow each position.
Space group C2/m (No. 12)
Inequivalent atoms, fractional coordinates:
K (0.0000, 0.2500, 0.0000) [4 per cell]  12 H 2.77-2.87
Cd (0.0000, 0.0000, 0.5000) [2 per cell]  2 H 1.89
Cu (0.0000, 0.5000, 0.5000) [2 per cell]  4 H 1.65-1.66
H (0.0000, 0.2891, 0.5000) [4 per cell]  1 Cu 1.65
H (0.2120, 0.5000, 0.5013) [4 per cell]  1 Cu 1.66
H (0.2289, 0.0000, 0.9563) [4 per cell]  1 Cd 1.89

---

Compound: Ba2Sr3Li2
Source: the Alexandria database
Functional: PBE
Structure: relaxed

Properties
Calculated formation energy in eV per atom: 0.053

a b c (Å): 4.3436 36.4669 4.2492
angles (deg): 90.00 90.00 90.00
Closest atoms and distances in Å follow each position.
Space group Cmmm (No. 65)
Inequivalent atoms, fractional coordinates:
Ba (0.0000, 0.1976, 0.0000) [4 per cell]  4 Li 3.79, 1 Sr 4.22
Sr (0.0000, 0.0819, 0.0000) [4 per cell]  4 Li 3.61
Sr (0.0000, 0.5000, 0.5000) [2 per cell]  12 Sr 4.25-4.34
Li (0.0000, 0.3647, 0.5000) [4 per cell]  4 Sr 3.61, 4 Ba 3.79

---

Compound: YP2RhO8
Source: the Alexandria database
Functional: PBE
Structure: relaxed

Properties
Formation energy from raw total energies in eV/atom: -2.132

a b c (Å): 5.1243 5.1243 6.6654
angles (deg): 90.00 90.00 120.00
Closest atoms and distances in Å follow each position.
Space group P-3m1 (No. 164)
Inequivalent atoms, fractional coordinates:
Y (0.0000, 0.0000, 0.0000) [1 per cell]  6 O 2.42
P (0.3333, 0.6667, 0.2220) [2 per cell]  4 O 1.53-1.55
Rh (0.0000, 0.0000, 0.5000) [1 per cell]  6 O 2.04
O (0.1656, 0.3313, 0.2875) [6 per cell]  1 P 1.55
O (0.3333, 0.6667, 0.9928) [2 per cell]  1 P 1.53

---

Compound: MnTlSi2
Source: the Alexandria database
Functional: PBE
Structure: relaxed

Properties
Formation energy from raw total energies in eV/atom: 0.308

a b c (Å): 3.0508 3.1390 7.1603
angles (deg): 90.00 102.25 90.00
Closest atoms and distances in Å follow each position.
Space group Pm (No. 6)
Inequivalent atoms, fractional coordinates:
Mn (0.0000, 0.0000, 0.0000) [1 per cell]  5 Si 2.35-2.38
Tl (0.3728, 0.5000, 0.7018) [1 per cell]  4 Mn 2.99-3.06, 3 Si 3.00-3.02, 4 Tl 3.05-3.14
Si (0.1643, 0.0000, 0.3361) [1 per cell]  1 Mn 2.35, 4 Si 2.61
Si (0.5657, 0.5000, 0.1330) [1 per cell]  4 Mn 2.38, 4 Si 2.61

---

Compound: La5TlHg3
Source: the Alexandria database
Functional: PBE
Structure: relaxed

Properties
Calculated formation energy in eV per atom: -0.384

a b c (Å): 9.6761 9.6761 6.9534
angles (deg): 90.00 90.00 120.00
Closest atoms and distances in Å follow each position.
Space group P6_3/mcm (No. 193)
Inequivalent atoms, fractional coordinates:
La (0.0000, 0.2944, 0.2500) [6 per cell]  5 Hg 3.24-3.55, 2 Tl 3.34
La (0.3333, 0.6667, 0.0000) [4 per cell]  8 La 3.48-3.84, 6 Hg 3.52
Tl (0.0000, 0.0000, 0.0000) [2 per cell]  6 La 3.34, 2 Tl 3.48
Hg (0.0000, 0.3706, 0.7500) [6 per cell]  9 La 3.24-3.55